# Sc4AsP, optimized geometry, DFT PBE
data_Sc4AsP
_cell_length_a 7.8800
_cell_length_b 7.8800
_cell_length_c 7.8800
_cell_angle_alpha 90.00
_cell_angle_beta 90.00
_cell_angle_gamma 90.00
_symmetry_space_group_name_H-M 'F -4 3 m'
_symmetry_Int_Tables_number 216
_symmetry_space_group_name_Hall 'F -4 2 3'
loop_
_atom_site_label
_atom_site_type_symbol
_atom_site_fract_x
_atom_site_fract_y
_atom_site_fract_z
Sc1 Sc 0.1250 0.1250 0.1250
As1 As 0.2500 0.2500 0.7500
P1 P 0.0000 0.0000 0.5000
# DFT formation energy: 0.54 eV/f.u.
# E: -5.8071 eV/atom
# density: 3.88 g/cm3